Entry 1:
Below is a relaxed structure of TaV3H, with properties calculated at the GGA-PBEsol level. Values from VASP.

Cell and atoms, written as Quantum ESPRESSO input:
```
&SYSTEM
  ibrav = 0, nat = 5, ntyp = 3
/
ATOMIC_SPECIES
V 50.94 V.upf
Ta 180.95 Ta.upf
H 1.01 H.upf
ATOMIC_POSITIONS angstrom
V -0.656 -0.352 1.808
V -1.477 1.248 -0.293
V 1.102 1.464 0.685
Ta -1.031 2.360 2.200
H 0.000 0.000 0.000
CELL_PARAMETERS angstrom
-2.953 2.496 -0.585
-1.312 -0.704 3.617
2.203 2.927 1.369
```

Properties
The value obtained for the calculated total energy is -44.26 eV/cell. The calculation puts the theoretical density at 9.29 g/cm³.

Entry 2:
Below is a relaxed structure of ZrZnRe2, with properties calculated at the GGA-PBEsol level. Values from VASP.

Cell and atoms, written as Quantum ESPRESSO input:
```
&SYSTEM
  ibrav = 0, nat = 4, ntyp = 3
/
ATOMIC_SPECIES
Zr 91.22 Zr.upf
Re 186.21 Re.upf
Zn 65.41 Zn.upf
ATOMIC_POSITIONS angstrom
Zr -1.884 -1.231 -1.178
Re 1.535 -1.442 1.615
Re -1.127 -2.001 1.331
Zn -0.778 0.672 0.893
CELL_PARAMETERS angstrom
-1.556 1.344 1.786
-3.768 -2.462 -2.355
3.070 -2.884 3.231
```

Properties
The value obtained for the calculated total energy is -36.95 eV/cell. The calculation puts the theoretical density at 14.06 g/cm³.

Entry 3:
Below is a relaxed structure of Cu2NiRu, with properties calculated at the GGA-PBEsol level. Values from VASP.

Cell and atoms, written as Quantum ESPRESSO input:
```
&SYSTEM
  ibrav = 0, nat = 4, ntyp = 3
/
ATOMIC_SPECIES
Cu 63.55 Cu.upf
Ni 58.69 Ni.upf
Ru 101.07 Ru.upf
ATOMIC_POSITIONS angstrom
Cu -0.781 -1.721 1.636
Cu 0.000 -0.024 0.064
Ni 0.006 -1.485 3.918
Ru 1.715 -1.948 1.461
CELL_PARAMETERS angstrom
-1.567 -1.926 -0.728
3.424 -2.436 -0.929
-0.923 0.682 4.781
```

Properties
The value obtained for the calculated total energy is -23.91 eV/cell. The excess energy over the best structure of this formula in the dataset is 3.25 kcal/mol of atoms. The calculation puts the theoretical density at 10.12 g/cm³.

Entry 4:
Below is a relaxed structure of MgIr2Rh, with properties calculated at the GGA-PBEsol level. Values from VASP.

Cell and atoms, written as Quantum ESPRESSO input:
```
&SYSTEM
  ibrav = 0, nat = 4, ntyp = 3
/
ATOMIC_SPECIES
Ir 192.22 Ir.upf
Rh 102.91 Rh.upf
Mg 24.30 Mg.upf
ATOMIC_POSITIONS angstrom
Ir 0.000 2.196 3.791
Ir 1.372 0.000 4.470
Rh 1.372 2.196 1.424
Mg 0.000 0.000 2.099
CELL_PARAMETERS angstrom
2.744 0.000 0.000
0.000 4.392 0.000
0.000 0.000 4.714
```

Properties
The value obtained for the calculated total energy is -30.15 eV/cell. The calculation puts the theoretical density at 14.95 g/cm³.

Entry 5:
Below is a relaxed structure of Li2CuSi, with properties calculated at the GGA-PBEsol level. Values from VASP.

Cell and atoms, written as Quantum ESPRESSO input:
```
&SYSTEM
  ibrav = 0, nat = 4, ntyp = 3
/
ATOMIC_SPECIES
Si 28.09 Si.upf
Li 6.94 Li.upf
Cu 63.55 Cu.upf
ATOMIC_POSITIONS angstrom
Si -1.743 0.886 1.575
Li -0.640 -1.491 2.131
Li 0.747 0.568 2.509
Cu 0.000 0.000 0.000
CELL_PARAMETERS angstrom
-0.356 2.944 1.953
-3.131 -1.173 1.198
3.593 -2.695 1.489
```

Properties
The value obtained for the calculated total energy is -14.66 eV/cell. For the uncorrected formation energy, the calculation gives -0.162 eV per atom. The calculation puts the theoretical density at 3.46 g/cm³.

Entry 6:
Below is a relaxed structure of TeP2Os, with properties calculated at the GGA-PBEsol level. Values from VASP.

Cell and atoms, written as Quantum ESPRESSO input:
```
&SYSTEM
  ibrav = 0, nat = 4, ntyp = 3
/
ATOMIC_SPECIES
Os 190.23 Os.upf
Te 127.60 Te.upf
P 30.97 P.upf
ATOMIC_POSITIONS angstrom
Os 1.472 -1.001 3.793
Te 0.000 0.000 0.000
P 1.472 1.065 4.978
P 0.000 0.472 2.640
CELL_PARAMETERS angstrom
2.943 0.000 0.000
-1.472 3.539 0.032
0.000 -2.001 7.586
```

Properties
The value obtained for the calculated total energy is -27.29 eV/cell. For the uncorrected formation energy, the calculation gives 0.009 eV per atom. The excess energy over the best structure of this formula in the dataset is 0.00 kcal/mol of atoms. The calculation puts the theoretical density at 7.96 g/cm³.

Entry 7:
Below is a relaxed structure of SiPt2Pb, with properties calculated at the GGA-PBEsol level. Values from VASP.

Cell and atoms, written as Quantum ESPRESSO input:
```
&SYSTEM
  ibrav = 0, nat = 4, ntyp = 3
/
ATOMIC_SPECIES
Si 28.09 Si.upf
Pt 195.08 Pt.upf
Pb 207.20 Pb.upf
ATOMIC_POSITIONS angstrom
Si 1.967 2.373 3.402
Pt 2.709 0.070 3.820
Pt 2.154 2.051 5.785
Pb 1.581 -1.253 1.720
CELL_PARAMETERS angstrom
-1.080 -2.349 2.066
2.971 -1.782 -0.474
3.256 4.359 4.014
```

Properties
The value obtained for the calculated total energy is -25.14 eV/cell. For the uncorrected formation energy, the calculation gives -0.367 eV per atom. The calculation puts the theoretical density at 13.69 g/cm³.

Entry 8:
Below is a relaxed structure of Sm3InSe6, with properties calculated at the GGA-PBEsol level. Values from VASP.

Cell and atoms, written as Quantum ESPRESSO input:
```
&SYSTEM
  ibrav = 0, nat = 40, ntyp = 3
/
ATOMIC_SPECIES
In 114.82 In.upf
Se 78.96 Se.upf
Sm 150.36 Sm.upf
ATOMIC_POSITIONS angstrom
In 1.698 -0.828 11.179
In 5.927 -2.113 3.730
In 0.000 0.000 0.000
In -4.230 1.285 7.449
Se 1.461 0.962 8.970
Se 2.445 -1.446 6.651
Se 4.057 -1.155 10.223
Se -2.936 -0.052 14.157
Se 3.367 2.055 19.351
Se 3.404 -2.016 2.676
Se -4.958 1.897 11.944
Se -0.008 0.360 19.682
Se 6.332 -1.605 8.201
Se -2.039 1.289 9.088
Se -0.189 0.689 5.517
Se -6.740 0.329 14.495
Se 8.709 0.431 9.930
Se -3.236 -0.981 6.300
Se 3.941 1.639 16.356
Se 5.790 1.039 12.785
Se -1.758 2.186 16.666
Se 6.632 -0.675 16.058
Se 5.510 0.142 5.208
Se 10.135 -1.986 7.863
Se 0.384 0.273 2.523
Se 0.951 -0.210 15.707
Se 2.290 1.366 12.903
Se -0.661 -0.501 12.135
Sm -0.455 -1.039 7.871
Sm -0.524 1.751 13.995
Sm 4.972 -0.231 18.485
Sm -1.577 -1.425 3.873
Sm 2.588 0.298 4.349
Sm 4.275 0.577 7.878
Sm 6.748 -1.278 11.193
Sm -4.524 2.239 15.067
Sm 8.276 0.089 6.806
Sm -3.352 -0.379 11.165
Sm 3.850 -0.618 14.487
Sm 1.163 2.030 17.524
CELL_PARAMETERS angstrom
-0.356 -3.984 0.485
12.211 -0.241 6.975
-8.459 2.570 14.898
```

Properties
The value obtained for the calculated total energy is -228.32 eV/cell. For the uncorrected formation energy, the calculation gives -1.572 eV per atom. The calculation puts the theoretical density at 7.03 g/cm³.

Entry 9:
Below is a relaxed structure of Sr3CuNi, with properties calculated at the GGA-PBEsol level. Values from VASP.

Cell and atoms, written as Quantum ESPRESSO input:
```
&SYSTEM
  ibrav = 0, nat = 5, ntyp = 3
/
ATOMIC_SPECIES
Cu 63.55 Cu.upf
Sr 87.62 Sr.upf
Ni 58.69 Ni.upf
ATOMIC_POSITIONS angstrom
Cu -0.449 -4.692 0.900
Sr -0.972 -1.091 2.354
Sr -1.554 -1.768 -1.462
Sr 2.078 -1.833 0.008
Ni 0.000 0.000 0.000
CELL_PARAMETERS angstrom
-3.108 -3.535 -2.924
4.155 -3.667 0.017
-1.945 -2.183 4.707
```

Properties
The value obtained for the calculated total energy is -14.53 eV/cell. The calculation puts the theoretical density at 3.76 g/cm³.

Entry 10:
Below is a relaxed structure of Cs2RbHg2, with properties calculated at the GGA-PBEsol level. Values from VASP.

Cell and atoms, written as Quantum ESPRESSO input:
```
&SYSTEM
  ibrav = 0, nat = 5, ntyp = 3
/
ATOMIC_SPECIES
Hg 200.59 Hg.upf
Cs 132.91 Cs.upf
Rb 85.47 Rb.upf
ATOMIC_POSITIONS angstrom
Hg 1.051 -0.269 4.244
Hg 2.081 5.320 1.834
Cs -0.356 3.101 3.552
Cs 3.489 1.950 2.526
Rb 0.000 0.000 0.000
CELL_PARAMETERS angstrom
-3.288 -0.381 4.834
4.403 -2.682 2.783
2.017 8.114 -1.539
```

Properties
The value obtained for the calculated total energy is -4.57 eV/cell. The excess energy over the best structure of this formula in the dataset is 0.00 kcal/mol of atoms. The calculation puts the theoretical density at 4.90 g/cm³.

Entry 11:
Below is a relaxed structure of BeFeCu2, with properties calculated at the GGA-PBEsol level. Values from VASP.

Cell and atoms, written as Quantum ESPRESSO input:
```
&SYSTEM
  ibrav = 0, nat = 4, ntyp = 3
/
ATOMIC_SPECIES
Fe 55.84 Fe.upf
Cu 63.55 Cu.upf
Be 9.01 Be.upf
ATOMIC_POSITIONS angstrom
Fe 0.000 0.538 3.866
Cu 0.000 4.028 -0.002
Cu 0.000 2.514 1.955
Be 1.246 0.496 1.938
CELL_PARAMETERS angstrom
2.491 0.000 0.000
0.000 4.150 -0.160
-1.245 -1.400 4.078
```

Properties
The value obtained for the calculated total energy is -21.23 eV/cell. The calculation puts the theoretical density at 7.66 g/cm³.

Entry 12:
Below is a relaxed structure of ScIrRu3, with properties calculated at the GGA-PBEsol level. Values from VASP.

Cell and atoms, written as Quantum ESPRESSO input:
```
&SYSTEM
  ibrav = 0, nat = 5, ntyp = 3
/
ATOMIC_SPECIES
Ru 101.07 Ru.upf
Sc 44.96 Sc.upf
Ir 192.22 Ir.upf
ATOMIC_POSITIONS angstrom
Ru 0.000 0.000 2.309
Ru 2.309 0.000 0.000
Ru 0.000 2.309 0.000
Sc 2.309 2.309 2.309
Ir 0.000 0.000 0.000
CELL_PARAMETERS angstrom
4.618 0.000 0.000
0.000 4.618 0.000
0.000 0.000 4.618
```

Properties
The value obtained for the calculated total energy is -40.41 eV/cell. The calculation puts the theoretical density at 9.11 g/cm³.

Entry 13:
Below is a relaxed structure of HgB4O7, with properties calculated at the GGA-PBEsol level. Values from VASP.

Cell and atoms, written as Quantum ESPRESSO input:
```
&SYSTEM
  ibrav = 0, nat = 24, ntyp = 3
/
ATOMIC_SPECIES
O 16.00 O.upf
B 10.81 B.upf
Hg 200.59 Hg.upf
ATOMIC_POSITIONS angstrom
O 3.903 3.203 1.435
O 2.171 1.551 1.494
O 2.020 3.403 0.000
O 1.791 3.796 8.321
O 1.807 1.189 6.786
O 3.888 0.597 7.734
O 2.171 1.551 9.209
O 3.903 3.203 9.269
O 0.074 2.842 3.858
O 3.888 0.597 2.969
O 1.791 3.796 2.383
O 0.074 2.842 6.846
O 4.116 0.990 5.352
O 1.807 1.189 3.917
B 2.477 2.961 9.416
B 2.395 0.761 2.686
B 0.298 3.632 8.038
B 0.381 1.432 4.064
B 0.381 1.432 6.639
B 2.477 2.961 1.287
B 2.395 0.761 8.017
B 0.298 3.632 2.666
Hg 0.410 0.794 0.000
Hg 2.506 3.599 5.352
CELL_PARAMETERS angstrom
4.193 0.000 0.000
0.000 4.393 0.000
0.000 0.000 10.703
```

Properties
The value obtained for the calculated total energy is -180.61 eV/cell. For the uncorrected formation energy, the calculation gives -2.077 eV per atom. The calculation puts the theoretical density at 5.99 g/cm³.